Entry 1:
Computed, not measured: an optimized crystal structure of TaCdNiAu at the PBE level of DFT. Values from VASP.

Space group: F-43m
DFT total energy: -5.185 eV/atom
Formation enthalpy at 0 K: 0.21 eV per atom
Total moment: 0.0 Bohr magnetons per cell
Density: 14.0 g/cm³

Quantum ESPRESSO input file:
```
&SYSTEM
  ibrav = 0, nat = 4, ntyp = 4
/
ATOMIC_SPECIES
Au 196.97 Au.upf
Cd 112.41 Cd.upf
Ni 58.69 Ni.upf
Ta 180.95 Ta.upf
ATOMIC_POSITIONS angstrom
Au 4.795 4.795 4.795
Cd 0.000 0.000 0.000
Ni 3.196 3.196 3.196
Ta 1.598 1.598 1.598
CELL_PARAMETERS angstrom
0.000 3.196 3.196
3.196 0.000 3.196
3.196 3.196 0.000
```

Entry 2:
Computed, not measured: an optimized crystal structure of Ag3Te4As at the PBE level of DFT. Values from VASP.

Space group: P-43m
DFT total energy: -3.142 eV/atom
Density: 7.1 g/cm³

Quantum ESPRESSO input file:
```
&SYSTEM
  ibrav = 0, nat = 8, ntyp = 3
/
ATOMIC_SPECIES
Ag 107.87 Ag.upf
As 74.92 As.upf
Te 127.60 Te.upf
ATOMIC_POSITIONS angstrom
Ag 2.988 0.000 0.000
Ag 0.000 2.988 0.000
Ag 0.000 0.000 2.988
As 0.000 0.000 0.000
Te 1.780 1.780 1.780
Te 4.197 4.197 1.780
Te 4.197 1.780 4.197
Te 1.780 4.197 4.197
CELL_PARAMETERS angstrom
5.977 0.000 0.000
0.000 5.977 0.000
0.000 0.000 5.977
```

Entry 3:
Computed, not measured: an optimized crystal structure of ZrCoGeW at the PBE level of DFT. Values from VASP.

Space group: F-43m
DFT total energy: -8.113 eV/atom
Total moment: 0.9 Bohr magnetons per cell
Density: 10.8 g/cm³

Quantum ESPRESSO input file:
```
&SYSTEM
  ibrav = 0, nat = 4, ntyp = 4
/
ATOMIC_SPECIES
Co 58.93 Co.upf
Ge 72.64 Ge.upf
W 183.84 W.upf
Zr 91.22 Zr.upf
ATOMIC_POSITIONS angstrom
Co -5.157 6.145 -1.590
Ge 0.000 0.000 0.000
W -1.719 2.048 -0.530
Zr -3.438 4.097 -1.060
CELL_PARAMETERS angstrom
-2.311 3.360 1.786
-0.555 3.781 -2.284
-4.010 1.052 -1.621
```

Entry 4:
Computed, not measured: an optimized crystal structure of TbTlZnTe3 at the PBE level of DFT. Values from VASP.

Space group: Cmcm
DFT total energy: -3.788 eV/atom
Total moment: 0.0 Bohr magnetons per cell
Density: 6.8 g/cm³

Quantum ESPRESSO input file:
```
&SYSTEM
  ibrav = 0, nat = 12, ntyp = 4
/
ATOMIC_SPECIES
Tb 158.93 Tb.upf
Te 127.60 Te.upf
Tl 204.38 Tl.upf
Zn 65.41 Zn.upf
ATOMIC_POSITIONS angstrom
Tb -2.166 -0.237 -0.006
Tb -2.056 -1.380 5.693
Te -2.765 5.188 1.829
Te -2.232 0.296 3.067
Te -2.682 4.328 6.115
Te -1.429 -7.089 5.271
Te -1.879 -3.056 8.318
Te -1.347 -7.949 9.557
Tl -1.703 -4.514 2.092
Tl -2.409 1.753 9.293
Zn -2.889 6.260 4.277
Zn -1.223 -9.021 7.109
CELL_PARAMETERS angstrom
-3.003 7.369 1.536
-1.329 -7.843 -1.548
0.220 -2.286 11.397
```

Which of these has the lowest DFT total energy?
ZrCoGeW